No. 1
# Pr2HoS3

A relaxed Pr2HoS3 crystal (PBE, OQMD).

The structure in extended XYZ format:
```
6
Lattice="4.0042 0.0000 0.0000 -2.0021 3.4677 0.0000 0.0000 0.0000 9.9814" Properties=species:S:1:pos:R:3 pbc="T T T"
Pr 0.0000 2.3118 1.7055
Pr 2.0021 1.1559 8.2759
Ho 0.0000 0.0000 4.9907
S 0.0000 0.0000 0.0000
S 0.0000 2.3118 6.4953
S 2.0021 1.1559 3.4861
```

## Properties
- Mass density: 6.5 g cm⁻³
- DFT total energy: -6.427 eV per atom

---

No. 2
# PrHoS2

A relaxed PrHoS2 crystal (PBE, OQMD).

The structure in extended XYZ format:
```
4
Lattice="3.4181 -1.9777 0.0000 3.4181 1.9777 0.0000 -2.2882 0.0000 6.6517" Properties=species:S:1:pos:R:3 pbc="T T T"
Pr 0.0000 0.0000 0.0000
Ho 2.2740 0.0000 3.3258
S -0.0064 0.0000 4.8460
S 4.5543 0.0000 1.8057
```

## Properties
- Mass density: 6.8 g cm⁻³
- DFT total energy: -6.409 eV per atom

---

No. 3
# PrHoSb2

A relaxed PrHoSb2 crystal (PBE, OQMD).

The structure in extended XYZ format:
```
4
Lattice="4.4640 0.0000 0.0000 0.0000 4.4640 0.0000 0.0000 0.0000 6.3120" Properties=species:S:1:pos:R:3 pbc="T T T"
Pr 0.0000 0.0000 0.0000
Ho 2.2320 2.2320 3.1560
Sb 0.0000 0.0000 3.1560
Sb 2.2320 2.2320 0.0000
```

## Properties
- Mass density: 7.3 g cm⁻³
- DFT total energy: -5.530 eV per atom

---

No. 4
# PrHoSb2Te2

A relaxed PrHoSb2Te2 crystal (PBE, OQMD).

The structure in extended XYZ format:
```
6
Lattice="4.3235 0.0000 0.0000 0.0000 4.3235 0.0000 0.0000 0.0000 9.4041" Properties=species:S:1:pos:R:3 pbc="T T T"
Pr 0.0000 0.0000 0.0000
Ho 2.1618 2.1618 5.1670
Sb 0.0000 2.1618 2.6292
Sb 2.1618 0.0000 2.6292
Te 0.0000 0.0000 6.0480
Te 2.1618 2.1618 8.3815
```

## Properties
- Mass density: 7.6 g cm⁻³
- DFT total energy: -5.104 eV per atom

---

No. 5
# PrHo2Se3

A relaxed PrHo2Se3 crystal (PBE, OQMD).

The structure in extended XYZ format:
```
6
Lattice="4.0917 0.0000 0.0000 -2.0459 3.5435 0.0000 0.0000 0.0000 10.2154" Properties=species:S:1:pos:R:3 pbc="T T T"
Pr 0.0000 0.0000 0.0000
Ho 0.0000 2.3624 6.7694
Ho 2.0459 1.1812 3.4460
Se 0.0000 0.0000 5.1077
Se 0.0000 2.3624 1.8648
Se 2.0459 1.1812 8.3505
```

## Properties
- Mass density: 7.9 g cm⁻³
- DFT total energy: -5.831 eV per atom

---

No. 6
# Pr2HoSe3

A relaxed Pr2HoSe3 crystal (PBE, OQMD).

The structure in extended XYZ format:
```
6
Lattice="4.1600 0.0000 0.0000 -2.0800 3.6026 0.0000 0.0000 0.0000 10.3966" Properties=species:S:1:pos:R:3 pbc="T T T"
Pr 0.0000 2.4018 1.7730
Pr 2.0800 1.2009 8.6236
Ho 0.0000 0.0000 5.1983
Se 0.0000 0.0000 0.0000
Se 0.0000 2.4018 6.7751
Se 2.0800 1.2009 3.6216
```

## Properties
- Mass density: 7.3 g cm⁻³
- DFT total energy: -5.904 eV per atom

---

Look up the mass density of the fifth one. 7.9 g cm⁻³